# PBEsol ScPt2Au, optimized geometry
data_ScPt2Au
_space_group_name_H-M_alt 'I 4/m m m'
_space_group_IT_number 139
_space_group_name_Hall '-I 4 2'
_cell_length_a 4.029
_cell_length_b 4.029
_cell_length_c 7.947
_cell_angle_alpha 90.00
_cell_angle_beta 90.00
_cell_angle_gamma 90.00
loop_
_atom_site_label
_atom_site_type_symbol
_atom_site_fract_x
_atom_site_fract_y
_atom_site_fract_z
Sc1 Sc 0.000 0.000 0.000
Pt1 Pt 0.000 0.500 0.250
Au1 Au 0.000 0.000 0.500
# ΔH_f (0 K) = -878 meV/atom


# PBEsol HfTiPO2, optimized geometry
data_HfTiPO2
_space_group_name_H-M_alt 'P 4/m m m'
_space_group_IT_number 123
_space_group_name_Hall '-P 4 2'
_cell_length_a 3.746
_cell_length_b 3.746
_cell_length_c 4.953
_cell_angle_alpha 90.00
_cell_angle_beta 90.00
_cell_angle_gamma 90.00
loop_
_atom_site_label
_atom_site_type_symbol
_atom_site_fract_x
_atom_site_fract_y
_atom_site_fract_z
Hf1 Hf 0.000 0.000 0.000
Ti1 Ti 0.500 0.500 0.500
P1 P 0.500 0.500 0.000
O1 O 0.000 0.500 0.500
# Energy relative to the elements, uncorrected = -1.694 eV/atom